Entry 1:
MnFeNi14 | PBE | optimized geometry

```
16
Lattice="-4.1919 1.9036 -1.9835 1.7626 -0.9151 -4.6028 -2.9674 -6.3939 0.1348" Properties=species:S:1:pos:R:3 pbc="T T T"
Ni -3.0070 1.3225 -3.4616
Ni -1.6615 -5.1390 -3.0200
Ni -4.4906 -1.8744 -3.3942
Ni -3.7468 -4.1920 -4.0065
Ni -2.5385 -4.6837 -0.7305
Ni -4.6238 -3.7368 -1.7170
Ni -1.5134 -3.2838 -4.7039
Mn -3.6093 -2.3320 -5.6956
Ni -0.9110 0.3707 -2.4698
Ni -0.0296 -0.0868 -4.7713
Ni -0.1656 -1.9157 -3.0880
Ni -1.0426 -1.4605 -0.7984
Ni -3.1279 -0.5134 -1.7849
Ni -2.2509 -0.9688 -4.0744
Ni -2.1256 0.8650 -5.7630
Fe -2.3947 -2.8262 -2.4025
```

E: -99.2 eV/cell
ΔE_f: -3.87 kJ/mol of atoms
D(E_F): 1.47 states/eV per atom
SG: P4/mmm (123)
calculated density: 8.74 g cm⁻³

***

Entry 2:
BeCu2Hg2 | PBE | optimized geometry

```
10
Lattice="-4.4201 -2.0222 3.7380 -0.5435 -5.0800 -3.3909 2.8943 -1.9058 2.3913" Properties=species:S:1:pos:R:3 pbc="T T T"
Be -2.4818 -3.5511 0.1736
Cu -2.0259 -5.0500 -1.5727
Hg -2.3939 -4.2978 3.1788
Be 0.0000 0.0000 0.0000
Hg -0.0984 -2.4882 1.8427
Cu -2.9377 -2.0523 1.9199
Cu -0.8400 -2.0917 -0.6503
Hg 0.3246 -4.7103 -0.4402
Hg -1.9709 -6.5199 0.8958
Cu -4.1235 -5.0105 0.9975
```

E: -21.9 eV/cell
ΔE_f: 30.14 kJ/mol of atoms
D(E_F): 0.25 states/eV per atom
SG: P4/mbm (127)
calculated density: 11.27 g cm⁻³

***

Entry 3:
NaCuAgCl5 | PBE | optimized geometry

```
16
Lattice="7.2178 -0.4571 -0.0248 -2.5442 6.7700 -0.0248 -1.9546 -2.6401 8.5067" Properties=species:S:1:pos:R:3 pbc="T T T"
Cl 2.4557 2.9135 3.5784
Cl -1.1232 3.8751 4.9201
Cl -2.2605 5.5382 2.1019
Cl 5.0115 1.3770 0.6668
Cl 3.8422 -0.2023 3.5371
Ag -0.9773 -1.3201 4.2534
Na 2.6967 -0.1753 6.3553
Cu 3.2902 1.4288 2.1019
Na 0.0224 3.8481 2.1019
Cl 1.6267 1.7936 0.6254
Cu -0.5712 2.2440 6.3553
Cl 1.0924 1.8792 7.8318
Cl -2.2924 2.2958 7.7904
Ag 0.0000 0.0000 0.0000
Cl 0.2634 0.7593 4.8788
Cl 4.9795 -1.8654 6.3553
```

E_form (uncorrected): -728 meV per atom
E: -46.7 eV/cell
D(E_F): 0.56 states/eV per atom
SG: C2/c (15)
calculated density: 3.05 g cm⁻³

***

Entry 4:
PrMgPd6 | PBE | optimized geometry

```
8
Lattice="-2.1483 -2.6733 2.3538 3.0984 -0.0465 2.7750 -3.3714 6.1139 3.8667" Properties=species:S:1:pos:R:3 pbc="T T T"
Pd -3.5410 3.1368 4.0062
Pr 0.0000 0.0000 0.0000
Pd -1.2107 1.6970 4.4978
Pd 0.6446 1.6172 2.4250
Pd -1.9788 0.3038 2.2144
Pd 0.4750 -1.3599 2.5644
Mg -1.6857 3.0570 1.9334
Pd -0.9176 4.4502 4.2167
```

E: -42.3 eV/cell
ΔE_f: -56.96 kJ/mol of atoms
D(E_F): 1.13 states/eV per atom
SG: P4/mmm (123)
calculated density: 9.66 g cm⁻³

***

Entry 5:
TmZr2Tl | PBE | optimized geometry

```
8
Lattice="4.5756 0.0000 0.0000 0.0000 4.0722 -0.7984 0.0000 0.0091 10.9447" Properties=species:S:1:pos:R:3 pbc="T T T"
Zr 1.1439 2.2580 0.7343
Tm 3.4317 2.8252 3.6421
Tm 1.1439 1.2562 6.5043
Tl 3.4317 3.4087 6.7084
Zr 1.1439 3.8639 9.0413
Zr 3.4317 1.8234 9.4121
Zr 3.4317 0.2175 1.1050
Tl 1.1439 0.6726 3.4380
```

E: -49.1 eV/cell
ΔE_f: -14.62 kJ/mol of atoms
D(E_F): 0.98 states/eV per atom
SG: P2_1/m (11)
calculated density: 9.05 g cm⁻³